# 1
## Dy3InP (PBE-GGA)

Data for Dy3InP after structural relaxation.

Cell: 5.2430 5.2430 5.2430 Å, 90.00 90.00 90.00°
Atoms (fractional coordinates):
Dy 0.0000 0.0000 0.5000
Dy 0.0000 0.5000 0.0000
Dy 0.5000 0.0000 0.0000
In 0.5000 0.5000 0.5000
P 0.0000 0.0000 0.0000

Calculated values
The calculation puts the formation energy at -717 meV/atom. As for the crystal system: cubic.


# 2
## Dy2InP (PBE-GGA)

Data for Dy2InP after structural relaxation.

Cell: 8.2434 8.2434 8.2434 Å, 27.39 27.39 27.39°
Atoms (fractional coordinates):
Dy 0.2342 0.2342 0.2342
Dy 0.7658 0.7658 0.7658
In 0.0000 0.0000 0.0000
P 0.5000 0.5000 0.5000

Calculated values
The calculation puts the formation energy at -987 meV/atom. As for the crystal system: trigonal.


# 3
## DyIn2P2Pt7 (PBE-GGA)

Data for DyIn2P2Pt7 after structural relaxation.

Cell: 3.9487 3.9487 15.2967 Å, 97.33 97.33 90.02°
Atoms (fractional coordinates):
Dy 0.0000 0.0000 0.0000
In 0.2123 0.2123 0.4263
In 0.7877 0.7877 0.5737
P 0.3837 0.3837 0.7646
P 0.6163 0.6163 0.2354
Pt 0.0730 0.5730 0.1475
Pt 0.3081 0.3081 0.6135
Pt 0.4270 0.9270 0.8525
Pt 0.5000 0.5000 0.0000
Pt 0.5730 0.0730 0.1475
Pt 0.6919 0.6919 0.3865
Pt 0.9270 0.4270 0.8525

Calculated values
The calculation puts the formation energy at -659 meV/atom. As for the crystal system: monoclinic.


# 4
## Dy6InP2Se3 (PBE-GGA)

Data for Dy6InP2Se3 after structural relaxation.

Cell: 9.2060 9.2060 8.3580 Å, 103.16 103.16 25.38°
Atoms (fractional coordinates):
Dy 0.0056 0.0056 0.2634
Dy 0.3274 0.3274 0.4285
Dy 0.3295 0.3295 0.8976
Dy 0.6705 0.6705 0.1024
Dy 0.6726 0.6726 0.5715
Dy 0.9944 0.9944 0.7366
In 0.5000 0.5000 0.0000
P 0.1684 0.1684 0.3370
P 0.8316 0.8316 0.6630
Se 0.1661 0.1661 0.8309
Se 0.5000 0.5000 0.5000
Se 0.8339 0.8339 0.1691

Calculated values
As for the crystal system: monoclinic. Its raw total energy is -5.799 eV/atom.


# 5
## Dy6InTe3P2 (PBE-GGA)

Data for Dy6InTe3P2 after structural relaxation.

Cell: 9.5453 9.5453 8.6908 Å, 104.04 104.04 25.14°
Atoms (fractional coordinates):
Dy 0.0117 0.0117 0.2542
Dy 0.3239 0.3239 0.4370
Dy 0.3325 0.3325 0.8859
Dy 0.6675 0.6675 0.1141
Dy 0.6761 0.6761 0.5630
Dy 0.9883 0.9883 0.7458
In 0.5000 0.5000 0.0000
Te 0.1642 0.1642 0.8313
Te 0.5000 0.5000 0.5000
Te 0.8358 0.8358 0.1687
P 0.1694 0.1694 0.3389
P 0.8306 0.8306 0.6611

Calculated values
As for the crystal system: monoclinic. Its raw total energy is -5.501 eV/atom.


# 6
## Dy4InTe2P (PBE-GGA)

Data for Dy4InTe2P after structural relaxation.

Cell: 7.4884 4.1688 7.4996 Å, 90.00 108.25 90.00°
Atoms (fractional coordinates):
Dy 0.2271 0.0000 0.2180
Dy 0.2422 0.5000 0.7647
Dy 0.7578 0.5000 0.2353
Dy 0.7729 0.0000 0.7820
In 0.5000 0.0000 0.0000
Te 0.0000 0.0000 0.5000
Te 0.5000 0.5000 0.5000
P 0.0000 0.5000 0.0000

Calculated values
As for the crystal system: monoclinic. Its raw total energy is -5.250 eV/atom.


Number 1: N(E_F) 0.438 states/eV/atom. Number 2: N(E_F) 0.563 states/eV/atom. Number 3: N(E_F) 0.374 states/eV/atom. Number 4: N(E_F) 0.327 states/eV/atom. Number 5: N(E_F) 0.329 states/eV/atom. Number 6: N(E_F) 0.356 states/eV/atom.